Entry 1:
Mo2WCl: optimized geometry, GGA-PBE.

Results
The energy above the most stable polymorph in this dataset comes out at 150 meV/atom. Its calculated total energy is -8.717 eV/atom.

Cell and atoms, written as CIF:
```
data_Mo2WCl
_symmetry_space_group_name_H-M 'R -3 m'
_symmetry_Int_Tables_number 166
_symmetry_space_group_name_Hall '-R 3 2"'
_cell_length_a 2.9855
_cell_length_b 2.9855
_cell_length_c 25.4266
_cell_angle_alpha 90.00
_cell_angle_beta 90.00
_cell_angle_gamma 120.00
loop_
_atom_site_label
_atom_site_type_symbol
_atom_site_fract_x
_atom_site_fract_y
_atom_site_fract_z
_atom_site_occupancy
Mo1 Mo 0.0000 0.0000 0.2488 1
W1 W 0.0000 0.0000 0.5000 1
Cl1 Cl 0.0000 0.0000 0.0000 1
```



Entry 2:
MoWCl2: optimized geometry, GGA-PBE.

Results
The energy above the most stable polymorph in this dataset comes out at 1505 meV/atom. Its calculated total energy is -5.618 eV/atom.

Cell and atoms, written as CIF:
```
data_MoWCl2
_symmetry_space_group_name_H-M 'F m -3 m'
_symmetry_Int_Tables_number 225
_symmetry_space_group_name_Hall '-F 4 2 3'
_cell_length_a 6.180
_cell_length_b 6.180
_cell_length_c 6.180
_cell_angle_alpha 90.00
_cell_angle_beta 90.00
_cell_angle_gamma 90.00
loop_
_atom_site_label
_atom_site_type_symbol
_atom_site_fract_x
_atom_site_fract_y
_atom_site_fract_z
_atom_site_occupancy
Mo1 Mo 0.000 0.000 0.000 1
W1 W 0.000 0.000 0.500 1
Cl1 Cl 0.250 0.250 0.250 1
```



Entry 3:
MoW2Cl: optimized geometry, GGA-PBE.

Results
The energy above the most stable polymorph in this dataset comes out at 145 meV/atom. Its calculated total energy is -9.141 eV/atom.

Cell and atoms, written as CIF:
```
data_MoW2Cl
_symmetry_space_group_name_H-M 'P 4 m m'
_symmetry_Int_Tables_number 99
_cell_length_a 3.040
_cell_length_b 3.040
_cell_length_c 7.194
_cell_angle_alpha 90.00
_cell_angle_beta 90.00
_cell_angle_gamma 90.00
loop_
_symmetry_equiv_pos_as_xyz
'x,y,z'
'-y,x,z'
'-x,-y,z'
'y,-x,z'
'-x,y,z'
'y,x,z'
'x,-y,z'
'-y,-x,z'
loop_
_atom_site_label
_atom_site_type_symbol
_atom_site_fract_x
_atom_site_fract_y
_atom_site_fract_z
_atom_site_occupancy
Mo1 Mo 0.000 0.000 0.000 1
W1 W 0.000 0.000 0.455 1
W2 W 0.500 0.500 0.226 1
Cl1 Cl 0.500 0.500 0.730 1
```



Entry 4:
MoW2Cl: optimized geometry, GGA-PBE.

Results
The energy above the most stable polymorph in this dataset comes out at 451 meV/atom. Its calculated total energy is -8.835 eV/atom.

Cell and atoms, written as CIF:
```
data_MoW2Cl
_symmetry_space_group_name_H-M 'C 1 m 1'
_symmetry_Int_Tables_number 8
_cell_length_a 9.716
_cell_length_b 2.991
_cell_length_c 4.590
_cell_angle_alpha 90.00
_cell_angle_beta 91.37
_cell_angle_gamma 90.00
loop_
_symmetry_equiv_pos_as_xyz
'x,y,z'
'x,-y,z'
'x+1/2,y+1/2,z'
'x+1/2,-y+1/2,z'
loop_
_atom_site_label
_atom_site_type_symbol
_atom_site_fract_x
_atom_site_fract_y
_atom_site_fract_z
_atom_site_occupancy
Mo1 Mo 0.000 0.000 0.000 1
W1 W 0.056 0.500 0.456 1
W2 W 0.283 0.000 0.226 1
Cl1 Cl 0.261 0.500 0.812 1
```



Entry 5:
MoW2Cl: optimized geometry, GGA-PBE.

Results
The energy above the most stable polymorph in this dataset comes out at 413 meV/atom. Its calculated total energy is -8.873 eV/atom.

Cell and atoms, written as CIF:
```
data_MoW2Cl
_symmetry_space_group_name_H-M 'C 1 2/m 1'
_symmetry_Int_Tables_number 12
_cell_length_a 10.015
_cell_length_b 2.995
_cell_length_c 4.416
_cell_angle_alpha 90.00
_cell_angle_beta 90.86
_cell_angle_gamma 90.00
loop_
_symmetry_equiv_pos_as_xyz
'x,y,z'
'-x,-y,-z'
'-x,y,-z'
'x,-y,z'
'x+1/2,y+1/2,z'
'-x+1/2,-y+1/2,-z'
'-x+1/2,y+1/2,-z'
'x+1/2,-y+1/2,z'
loop_
_atom_site_label
_atom_site_type_symbol
_atom_site_fract_x
_atom_site_fract_y
_atom_site_fract_z
_atom_site_occupancy
Mo1 Mo 0.000 0.000 0.000 1
W1 W 0.221 0.500 0.226 1
Cl1 Cl 0.000 0.500 0.500 1
```



Entry 6:
MoWCl2: optimized geometry, GGA-PBE.

Results
The energy above the most stable polymorph in this dataset comes out at 741 meV/atom. Its calculated total energy is -6.382 eV/atom.

Cell and atoms, written as CIF:
```
data_MoWCl2
_symmetry_space_group_name_H-M 'C 1 m 1'
_symmetry_Int_Tables_number 8
_cell_length_a 10.580
_cell_length_b 3.023
_cell_length_c 6.513
_cell_angle_alpha 90.00
_cell_angle_beta 109.18
_cell_angle_gamma 90.00
loop_
_symmetry_equiv_pos_as_xyz
'x,y,z'
'x,-y,z'
'x+1/2,y+1/2,z'
'x+1/2,-y+1/2,z'
loop_
_atom_site_label
_atom_site_type_symbol
_atom_site_fract_x
_atom_site_fract_y
_atom_site_fract_z
_atom_site_occupancy
Mo1 Mo 0.000 0.000 0.000 1
W1 W 0.178 0.500 0.008 1
Cl1 Cl 0.257 0.000 0.742 1
Cl2 Cl 0.419 0.000 0.264 1
```



Entry 7:
MoWCl2: optimized geometry, GGA-PBE.

Results
The energy above the most stable polymorph in this dataset comes out at 748 meV/atom. Its calculated total energy is -6.375 eV/atom.

Cell and atoms, written as CIF:
```
data_MoWCl2
_symmetry_space_group_name_H-M 'R -3 m'
_symmetry_Int_Tables_number 166
_symmetry_space_group_name_Hall '-R 3 2"'
_cell_length_a 2.9837
_cell_length_b 2.9837
_cell_length_c 25.4673
_cell_angle_alpha 90.00
_cell_angle_beta 90.00
_cell_angle_gamma 120.00
loop_
_atom_site_label
_atom_site_type_symbol
_atom_site_fract_x
_atom_site_fract_y
_atom_site_fract_z
_atom_site_occupancy
Mo1 Mo 0.0000 0.0000 0.0000 1
W1 W 0.0000 0.0000 0.5000 1
Cl1 Cl 0.0000 0.0000 0.4057 1
```



Entry 8:
MoWCl2: optimized geometry, GGA-PBE.

Results
The energy above the most stable polymorph in this dataset comes out at 168 meV/atom. Its calculated total energy is -6.954 eV/atom.

Cell and atoms, written as CIF:
```
data_MoWCl2
_symmetry_space_group_name_H-M 'R 3 m'
_symmetry_Int_Tables_number 160
_symmetry_space_group_name_Hall 'R 3 -2"'
_cell_length_a 2.9834
_cell_length_b 2.9834
_cell_length_c 29.5015
_cell_angle_alpha 90.00
_cell_angle_beta 90.00
_cell_angle_gamma 120.00
loop_
_atom_site_label
_atom_site_type_symbol
_atom_site_fract_x
_atom_site_fract_y
_atom_site_fract_z
_atom_site_occupancy
Mo1 Mo 0.0000 0.0000 0.0000 1
W1 W 0.0000 0.0000 0.2541 1
Cl1 Cl 0.0000 0.0000 0.5253 1
Cl2 Cl 0.0000 0.0000 0.7277 1
```



Entry 9:
MoW2Cl: optimized geometry, GGA-PBE.

Results
The energy above the most stable polymorph in this dataset comes out at 480 meV/atom. Its calculated total energy is -8.806 eV/atom.

Cell and atoms, written as CIF:
```
data_MoW2Cl
_symmetry_space_group_name_H-M 'P m m m'
_symmetry_Int_Tables_number 47
_cell_length_a 2.867
_cell_length_b 4.293
_cell_length_c 5.382
_cell_angle_alpha 90.00
_cell_angle_beta 90.00
_cell_angle_gamma 90.00
loop_
_symmetry_equiv_pos_as_xyz
'x,y,z'
'-x,-y,-z'
'-x,-y,z'
'x,y,-z'
'x,-y,-z'
'-x,y,z'
'-x,y,-z'
'x,-y,z'
loop_
_atom_site_label
_atom_site_type_symbol
_atom_site_fract_x
_atom_site_fract_y
_atom_site_fract_z
_atom_site_occupancy
Mo1 Mo 0.000 0.000 0.000 1
W1 W 0.500 0.500 0.227 1
Cl1 Cl 0.000 0.000 0.500 1
```



Entry 10:
MoWCl2: optimized geometry, GGA-PBE.

Results
The energy above the most stable polymorph in this dataset comes out at 1007 meV/atom. Its calculated total energy is -6.115 eV/atom.

Cell and atoms, written as CIF:
```
data_MoWCl2
_symmetry_space_group_name_H-M 'P 1 2/m 1'
_symmetry_Int_Tables_number 10
_cell_length_a 2.819
_cell_length_b 4.343
_cell_length_c 5.634
_cell_angle_alpha 90.00
_cell_angle_beta 104.28
_cell_angle_gamma 90.00
loop_
_symmetry_equiv_pos_as_xyz
'x,y,z'
'-x,-y,-z'
'-x,y,-z'
'x,-y,z'
loop_
_atom_site_label
_atom_site_type_symbol
_atom_site_fract_x
_atom_site_fract_y
_atom_site_fract_z
_atom_site_occupancy
Mo1 Mo 0.000 0.000 0.000 1
W1 W 0.500 0.000 0.500 1
Cl1 Cl 0.283 0.500 0.248 1
```



Entry 11:
MoW3Cl: optimized geometry, GGA-PBE.

Results
Its calculated total energy is -8.742 eV/atom.

Cell and atoms, written as CIF:
```
data_MoW3Cl
_symmetry_space_group_name_H-M 'P m -3 m'
_symmetry_Int_Tables_number 221
_symmetry_space_group_name_Hall '-P 4 2 3'
_cell_length_a 4.384
_cell_length_b 4.384
_cell_length_c 4.384
_cell_angle_alpha 90.00
_cell_angle_beta 90.00
_cell_angle_gamma 90.00
loop_
_atom_site_label
_atom_site_type_symbol
_atom_site_fract_x
_atom_site_fract_y
_atom_site_fract_z
_atom_site_occupancy
Mo1 Mo 0.000 0.000 0.000 1
W1 W 0.000 0.500 0.500 1
Cl1 Cl 0.500 0.500 0.500 1
```



Entry 12:
MoW2Cl: optimized geometry, GGA-PBE.

Results
The energy above the most stable polymorph in this dataset comes out at 152 meV/atom. Its calculated total energy is -9.134 eV/atom.

Cell and atoms, written as CIF:
```
data_MoW2Cl
_symmetry_space_group_name_H-M 'C m m m'
_symmetry_Int_Tables_number 65
_symmetry_space_group_name_Hall '-C 2 2'
_cell_length_a 3.126
_cell_length_b 4.724
_cell_length_c 8.898
_cell_angle_alpha 90.00
_cell_angle_beta 90.00
_cell_angle_gamma 90.00
loop_
_atom_site_label
_atom_site_type_symbol
_atom_site_fract_x
_atom_site_fract_y
_atom_site_fract_z
_atom_site_occupancy
Mo1 Mo 0.000 0.000 0.000 1
W1 W 0.000 0.500 0.243 1
Cl1 Cl 0.000 0.000 0.500 1
```